DFT (GGA-PBE) results for SmDyIn4 after structural relaxation.

a b c (Å): 4.665 7.517 7.517
angles (deg): 35.83 90.00 90.00
Fractional positions:
Sm: 0.000 0.000 0.000
Dy: 0.000 0.309 0.309
In: 0.000 0.656 0.656
In: 0.500 0.156 0.156
In: 0.500 0.479 0.479
In: 0.500 0.829 0.829

Output
Spin magnetization = 0.000 μB per atom
Symmetry = Amm2 (38)
E_tot = -3.83 eV/atom